(1)
Compound: LiAlMo2
Source: Alexandria
Functional: PBE
Structure: optimized geometry

```
LiAlMo2
1.0
-1.728 2.189 3.906
1.728 -2.189 3.906
1.728 2.189 -3.906
Li Al Mo
1 1 2
Cartesian
0.000 0.000 0.000
0.000 2.189 2.089
1.728 0.000 1.983
0.000 0.000 3.896
```

- ΔE_f (eV/atom) = 0.082
- SG = Imm2 (44)

(2)
Compound: LiAlMo
Source: Alexandria
Functional: PBE
Structure: optimized geometry

```
LiAlMo
1.0
4.396 0.000 0.000
-2.198 3.807 0.000
0.000 0.000 2.630
Li Al Mo
1 1 1
Cartesian
0.000 0.000 0.000
2.198 1.269 2.421
0.000 2.538 1.189
```

- relative energy among the computed polymorphs (meV per atom) = 78
- ΔE_f (eV/atom) = 0.135
- SG = P3m1 (156)

(3)
Compound: LiAlMo2
Source: Alexandria
Functional: PBE
Structure: optimized geometry

```
LiAlMo2
1.0
-1.706 2.003 4.345
1.706 -2.003 4.345
1.706 2.003 -4.345
Li Al Mo
1 1 2
Cartesian
0.000 0.000 0.000
0.000 0.000 4.345
1.706 0.000 2.126
0.000 2.003 2.219
```

- ΔE_f (eV/atom) = 0.081
- SG = Immm (71)

(4)
Compound: LiAl6Mo
Source: Alexandria
Functional: PBE
Structure: optimized geometry

```
LiAl6Mo
1.0
-2.358 2.358 5.735
2.358 -2.358 5.735
2.358 2.358 -5.735
Li Al Mo
1 6 1
Cartesian
0.000 0.000 0.000
2.358 0.000 1.354
0.000 0.000 3.048
2.358 0.000 4.381
0.000 2.358 1.354
0.000 0.000 8.423
0.000 2.358 4.381
0.000 0.000 5.735
```

- ΔE_f (eV/atom) = -0.132
- SG = I4/mmm (139)

(5)
Compound: LiAlMo
Source: Alexandria
Functional: PBE
Structure: optimized geometry

```
LiAlMo
1.0
-1.336 1.336 6.576
1.336 -1.336 6.576
1.336 1.336 -6.576
Li Al Mo
1 1 1
Cartesian
0.000 0.000 0.000
0.000 0.000 4.394
0.000 0.000 8.921
```

- relative energy among the computed polymorphs (meV per atom) = 8
- ΔE_f (eV/atom) = 0.065
- SG = I4mm (107)

(6)
Compound: Li4AlMo
Source: Alexandria
Functional: PBE
Structure: optimized geometry

```
Li4AlMo
1.0
0.000 3.541 3.541
3.541 0.000 3.541
3.541 3.541 0.000
Li Al Mo
4 1 1
Cartesian
0.881 0.881 0.881
2.659 2.659 0.881
2.659 0.881 2.659
0.881 2.659 2.659
3.541 3.541 3.541
5.311 5.311 5.311
```

- ΔE_f (eV/atom) = 0.345
- SG = F-43m (216)

Sequential mass density output: 6.34 4.90 6.31 3.45 4.59 2.82 g cm⁻³
Sequential E_tot output: -26.99 -16.08 -27.00 -36.25 -16.29 -20.16 eV per cell